VASP calculation (PBE) on a relaxed Dy2Ga2Ni5Sn crystal.

For the total DFT energy (no corrections), the calculation gives -5.21 eV per atom. The value obtained for the energy of formation is -0.40 eV per atom. As for the density of states at the Fermi level: 0.682 states/eV/atom.

The space group is P4/mbm (No. 127) and the conventional cell measures 9.5575, 9.5575 and 3.5373 Å, with angles of 90.00, 90.00 and 90.00 degrees. The asymmetric unit holds Dy at (0.1809, 0.3191, 0.0000), Ga at (0.1156, 0.6156, 0.0000), Ni at (0.0000, 0.5000, 0.5000), Ni at (0.0570, 0.7848, 0.5000) and Sn at (0.0000, 0.0000, 0.0000).